Ga3HgB | meta-GGA SCAN | PBEsol geometry

```
5
Lattice="5.021 0.000 0.000 0.000 5.021 0.000 0.000 0.000 5.021" Properties=species:S:1:pos:R:3 pbc="T T T"
Ga 0.000 0.000 2.511
Ga 0.000 2.511 0.000
Ga 2.511 0.000 0.000
Hg 0.000 0.000 0.000
B 2.511 2.511 2.511
```

**Crystal system**: cubic
**Raw total energy**: -0.8631 hartree per atom
**DFT formation energy**: 139.1 kJ per mole of atoms
**Space group**: Pm-3m (221)

MgTl2Hg | meta-GGA SCAN | PBEsol geometry

```
4
Lattice="1.704 0.984 9.975 -1.704 0.984 9.975 0.000 -1.968 9.975" Properties=species:S:1:pos:R:3 pbc="T T T"
Mg 0.000 0.000 0.000
Tl 0.000 0.000 15.237
Tl 0.000 0.000 22.427
Hg 0.000 0.000 7.833
```

**Crystal system**: trigonal
**Raw total energy**: -2.0043 hartree per atom
**DFT formation energy**: -7.4 kJ per mole of atoms
**Space group**: R3m (160)

BaAsSeBr2 | meta-GGA SCAN | PBEsol geometry

```
5
Lattice="5.357 0.000 0.000 0.000 5.357 0.000 0.000 0.000 5.173" Properties=species:S:1:pos:R:3 pbc="T T T"
Ba 0.000 0.000 0.000
As 2.678 2.678 0.000
Se 2.678 2.678 2.587
Br 0.000 2.678 2.587
Br 2.678 0.000 2.587
```

**Crystal system**: tetragonal
**Raw total energy**: -0.8973 hartree per atom
**Raw formation energy**: -3.35 eV/f.u.
**Space group**: P4/mmm (123)

MnTc2 | meta-GGA SCAN | PBEsol geometry

```
6
Lattice="-2.919 2.919 2.284 2.919 -2.919 2.284 2.919 2.919 -2.284" Properties=species:S:1:pos:R:3 pbc="T T T"
Mn 0.000 0.000 1.142
Mn 0.000 0.000 3.426
Tc 3.796 0.876 0.000
Tc 0.876 2.043 0.000
Tc 2.043 0.876 2.284
Tc -0.876 2.043 2.284
```

**Crystal system**: tetragonal
**Raw total energy**: -1.0829 hartree per atom
**DFT formation energy**: -0.9 kJ per mole of atoms
**Space group**: I4/mcm (140)

CaGa2Co2 | meta-GGA SCAN | PBEsol geometry

```
5
Lattice="-2.024 2.024 4.898 2.024 -2.024 4.898 2.024 2.024 -4.898" Properties=species:S:1:pos:R:3 pbc="T T T"
Ca 0.000 0.000 0.000
Ga 0.000 0.000 3.575
Ga 0.000 0.000 6.221
Co 2.024 0.000 2.449
Co 0.000 2.024 2.449
```

**Crystal system**: tetragonal
**Raw total energy**: -0.5737 hartree per atom
**DFT formation energy**: -21.0 kJ per mole of atoms
**Space group**: I4/mmm (139)

Mg2BiAsO6 | meta-GGA SCAN | PBEsol geometry

```
20
Lattice="3.964 -6.139 0.000 3.964 6.139 0.000 0.000 0.000 5.413" Properties=species:S:1:pos:R:3 pbc="T T T"
Mg 1.552 1.121 1.353
Mg 1.552 -1.121 4.060
Mg 6.376 1.121 1.353
Mg 6.376 -1.121 4.060
Bi 3.964 1.153 4.060
Bi 3.964 -1.153 1.353
As 3.964 3.715 1.353
As 3.964 -3.715 4.060
O 2.545 2.806 1.353
O 3.964 4.719 2.746
O 3.964 4.719 5.374
O 2.621 0.000 0.000
O 2.621 0.000 2.707
O 5.383 2.806 1.353
O 2.545 -2.806 4.060
O 5.307 0.000 0.000
O 5.307 0.000 2.707
O 3.964 -4.719 0.039
O 3.964 -4.719 2.667
O 5.383 -2.806 4.060
```

**Crystal system**: orthorhombic
**Raw total energy**: -0.6122 hartree per atom
**Raw formation energy**: -20.48 eV/f.u.
**Space group**: Cmcm (63)

Cs2ZnCuPd | meta-GGA SCAN | PBEsol geometry

```
5
Lattice="6.327 0.000 0.000 0.000 6.327 0.000 0.000 0.000 4.744" Properties=species:S:1:pos:R:3 pbc="T T T"
Cs 0.000 3.164 0.000
Cs 3.164 0.000 0.000
Zn 0.000 0.000 2.372
Cu 3.164 3.164 0.000
Pd 3.164 3.164 2.372
```

**Crystal system**: tetragonal
**Raw total energy**: -0.9925 hartree per atom
**DFT formation energy**: 40.1 kJ per mole of atoms
**Space group**: P4/mmm (123)

BeCo4Mo | meta-GGA SCAN | PBEsol geometry

```
6
Lattice="0.000 3.194 3.194 3.194 0.000 3.194 3.194 3.194 0.000" Properties=species:S:1:pos:R:3 pbc="T T T"
Be 0.000 0.000 0.000
Co 2.389 2.389 2.389
Co 3.999 3.999 2.389
Co 3.999 2.389 3.999
Co 2.389 3.999 3.999
Mo 4.791 4.791 4.791
```

**Crystal system**: cubic
**Raw total energy**: -0.6540 hartree per atom
**DFT formation energy**: 27.1 kJ per mole of atoms
**Space group**: F-43m (216)

What did the eighth record say?
BeCo4Mo | meta-GGA SCAN | PBEsol geometry

```
6
Lattice="0.000 3.194 3.194 3.194 0.000 3.194 3.194 3.194 0.000" Properties=species:S:1:pos:R:3 pbc="T T T"
Be 0.000 0.000 0.000
Co 2.389 2.389 2.389
Co 3.999 3.999 2.389
Co 3.999 2.389 3.999
Co 2.389 3.999 3.999
Mo 4.791 4.791 4.791
```

**Crystal system**: cubic
**Raw total energy**: -0.6540 hartree per atom
**DFT formation energy**: 27.1 kJ per mole of atoms
**Space group**: F-43m (216)

> What is the formula in the third record?

BaAsSeBr2

> Look up the raw total energy of the sixth one.

-0.6122 hartree per atom

> raw total energy of number 4 (MnTc2)?

-1.0829 hartree per atom